## MnV5Tc4 (PBE)

Data for crystalline MnV5Tc4 at its relaxed geometry.

abc: 3.0023 3.0023 14.9711
angles: 90.00 90.00 90.00
With the nearest neighbours (Å) after each atom.
Fractional positions:
Mn 0.0000 0.0000 0.0000  8 V 2.55
V 0.5000 0.5000 0.0946  4 Mn 2.55, 4 Tc 2.61, 1 V 2.83
V 0.5000 0.5000 0.2969  8 Tc 2.61
V 0.5000 0.5000 0.5000  8 Tc 2.61
V 0.5000 0.5000 0.7031  8 Tc 2.61
V 0.5000 0.5000 0.9054  4 Mn 2.55, 4 Tc 2.61, 1 V 2.83
Tc 0.0000 0.0000 0.1955  8 V 2.61
Tc 0.0000 0.0000 0.3985  8 V 2.61
Tc 0.0000 0.0000 0.6015  8 V 2.61
Tc 0.0000 0.0000 0.8045  8 V 2.61

Properties
ΔH_f (0 K) in kcal/mol of atoms: -7.72
Electronic total energy in eV/atom: -9.9576
Space-group type: P4/mmm, No. 123

---

## GdErLu2 (PBE)

Data for crystalline GdErLu2 at its relaxed geometry.

abc: 3.9991 3.9991 7.6970
angles: 90.00 90.00 90.00
With the nearest neighbours (Å) after each atom.
Fractional positions:
Gd 0.0000 0.0000 0.0000  8 Lu 3.43
Er 0.0000 0.0000 0.5000  8 Lu 3.41
Lu 0.5000 0.5000 0.2532  4 Er 3.41, 4 Gd 3.43, 1 Lu 3.80
Lu 0.5000 0.5000 0.7468  4 Er 3.41, 4 Gd 3.43, 1 Lu 3.80

Properties
ΔH_f (0 K) in kcal/mol of atoms: 2.30
Electronic total energy in eV/atom: -6.8218
Relative energy among the computed polymorphs in meV/atom: 69
Space-group type: P4/mmm, No. 123

---

## LaEr3Sc7 (PBE)

Data for crystalline LaEr3Sc7 at its relaxed geometry.

abc: 7.9927 7.9927 5.4646
angles: 109.93 109.93 82.19
With the nearest neighbours (Å) after each atom.
Fractional positions:
La 0.0000 0.0000 0.0000  2 Sc 2.73
Er 0.2924 0.7076 0.5000  5 Sc 3.07-3.20
Er 0.5000 0.5000 0.0000  4 Sc 3.08
Er 0.7076 0.2924 0.5000  5 Sc 3.07-3.20
Sc 0.0000 0.0000 0.5000  2 La 2.73
Sc 0.0918 0.4679 0.7799  2 Er 3.08-3.20, 5 Sc 3.09-3.38
Sc 0.2935 0.2935 0.2939  2 Er 3.11, 1 La 3.15, 6 Sc 3.37-3.38
Sc 0.4679 0.0918 0.7799  2 Er 3.08-3.20, 5 Sc 3.09-3.38
Sc 0.5321 0.9082 0.2201  2 Er 3.08-3.20, 5 Sc 3.09-3.38
Sc 0.7065 0.7065 0.7061  2 Er 3.11, 1 La 3.15, 6 Sc 3.37-3.38
Sc 0.9082 0.5321 0.2201  2 Er 3.08-3.20, 5 Sc 3.09-3.38

Properties
ΔH_f (0 K) in kcal/mol of atoms: 6.60
Electronic total energy in eV/atom: -5.4355
Space-group type: C2/m, No. 12

---

## TeAs2Pt2 (PBE)

Data for crystalline TeAs2Pt2 at its relaxed geometry.

abc: 7.8825 7.8825 7.8825
angles: 151.72 151.72 40.42
With the nearest neighbours (Å) after each atom.
Fractional positions:
Te 0.0000 0.0000 0.0000  8 As 3.37
As 0.3657 0.3657 0.0000  4 Pt 2.58
As 0.6343 0.6343 0.0000  4 Pt 2.58
Pt 0.2500 0.7500 0.5000  4 As 2.58, 4 Pt 2.72
Pt 0.7500 0.2500 0.5000  4 As 2.58, 4 Pt 2.72

Properties
Electronic total energy in eV/atom: -4.9541
Raw formation energy in eV/atom: -0.05
Relative energy among the computed polymorphs in meV/atom: 15
Space-group type: I4/mmm, No. 139

---

## CdCoCl2 (PBE)

Data for crystalline CdCoCl2 at its relaxed geometry.

abc: 4.9456 4.9456 4.9374
angles: 116.04 116.04 96.67
With the nearest neighbours (Å) after each atom.
Fractional positions:
Cd 0.0000 0.0000 0.0000  4 Cl 2.62
Co 0.5000 0.5000 0.0000  4 Cl 2.62
Cl 0.0000 0.5000 0.5000  2 Cd 2.62, 2 Co 2.62
Cl 0.5000 0.0000 0.5000  2 Cd 2.62, 2 Co 2.62

Properties
Electronic total energy in eV/atom: -2.8196
Raw formation energy in eV/atom: 0.11
Relative energy among the computed polymorphs in meV/atom: 465
Space-group type: C2/m, No. 12

---

## KLa2Ni (PBE)

Data for crystalline KLa2Ni at its relaxed geometry.

abc: 5.2112 5.2112 4.3709
angles: 90.00 90.00 90.12
With the nearest neighbours (Å) after each atom.
Fractional positions:
K 0.0000 0.0000 0.0000  8 La 3.40, 4 Ni 3.68-3.69
La 0.0000 0.5000 0.5000  4 Ni 3.40, 4 K 3.40, 4 La 3.68-3.69
La 0.5000 0.0000 0.5000  4 Ni 3.40, 4 K 3.40, 4 La 3.68-3.69
Ni 0.5000 0.5000 0.0000  8 La 3.40, 4 K 3.68-3.69

Properties
ΔH_f (0 K) in kcal/mol of atoms: 12.48
Electronic total energy in eV/atom: -3.6421
Relative energy among the computed polymorphs in meV/atom: 600
Space-group type: Cmmm, No. 65

---

## NdZn2SiRh2 (PBE)

Data for crystalline NdZn2SiRh2 at its relaxed geometry.

abc: 4.4533 4.4533 5.7480
angles: 90.00 90.00 90.00
With the nearest neighbours (Å) after each atom.
Fractional positions:
Nd 0.0000 0.0000 0.0000  2 Si 2.87
Zn 0.5000 0.5000 0.2286  1 Zn 2.63, 4 Rh 2.72
Zn 0.5000 0.5000 0.7714  1 Zn 2.63, 4 Rh 2.72
Si 0.0000 0.0000 0.5000  4 Rh 2.23
Rh 0.0000 0.5000 0.5000  2 Si 2.23
Rh 0.5000 0.0000 0.5000  2 Si 2.23

Properties
Electronic total energy in eV/atom: -5.0156
Raw formation energy in eV/atom: -0.44
Space-group type: P4/mmm, No. 123

---

## YBePt3 (PBE)

Data for crystalline YBePt3 at its relaxed geometry.

abc: 7.8599 7.8599 5.2299
angles: 90.00 90.00 141.71
With the nearest neighbours (Å) after each atom.
Fractional positions:
Y 0.1808 0.8192 0.7500  8 Pt 2.96-2.99
Y 0.8192 0.1808 0.2500  8 Pt 2.96-2.99
Be 0.4889 0.5111 0.7500  2 Pt 2.28
Be 0.5111 0.4889 0.2500  2 Pt 2.28
Pt 0.0000 0.0000 0.0000  6 Pt 2.61-2.78, 4 Be 2.90
Pt 0.0000 0.0000 0.5000  6 Pt 2.61-2.78, 4 Be 2.90
Pt 0.1162 0.3943 0.7500  1 Be 2.28, 1 Pt 2.52
Pt 0.3943 0.1162 0.2500  1 Be 2.28, 1 Pt 2.52
Pt 0.6057 0.8838 0.7500  1 Be 2.28, 1 Pt 2.52
Pt 0.8838 0.6057 0.2500  1 Be 2.28, 1 Pt 2.52

Properties
ΔH_f (0 K) in kcal/mol of atoms: -10.25
Electronic total energy in eV/atom: -6.1069
Relative energy among the computed polymorphs in meV/atom: 512
Space-group type: Cmcm, No. 63

---

## BaCd2SiSe (PBE)

Data for crystalline BaCd2SiSe at its relaxed geometry.

abc: 5.3062 5.3062 6.1475
angles: 90.00 90.00 90.00
With the nearest neighbours (Å) after each atom.
Fractional positions:
Ba 0.0000 0.0000 0.0000  2 Se 3.07
Cd 0.0000 0.5000 0.5000  2 Se 2.65
Cd 0.5000 0.0000 0.5000  2 Se 2.65
Si 0.5000 0.5000 0.0000  4 Ba 3.75, 8 Cd 4.06
Se 0.0000 0.0000 0.5000  4 Cd 2.65

Properties
Electronic total energy in eV/atom: -2.3834
Raw formation energy in eV/atom: 0.15
Space-group type: P4/mmm, No. 123

---

## K2CoTc (PBE)

Data for crystalline K2CoTc at its relaxed geometry.

abc: 3.2307 3.2307 10.3915
angles: 90.00 90.00 90.00
With the nearest neighbours (Å) after each atom.
Fractional positions:
K 0.0000 0.0000 0.0000  4 K 3.23, 1 Tc 3.33, 4 Co 3.42
K 0.5000 0.5000 0.4213  4 K 3.23, 1 Co 3.47, 4 Tc 3.53
Co 0.5000 0.5000 0.7555  4 Tc 2.42
Tc 0.0000 0.0000 0.6798  4 Co 2.42

Properties
ΔH_f (0 K) in kcal/mol of atoms: 18.49
Electronic total energy in eV/atom: -4.1149
Relative energy among the computed polymorphs in meV/atom: 32
Space-group type: P4mm, No. 99

---

## K2Zr2Pb (PBE)

Data for crystalline K2Zr2Pb at its relaxed geometry.

abc: 7.4017 7.4017 6.5341
angles: 90.00 90.00 90.00
With the nearest neighbours (Å) after each atom.
Fractional positions:
K 0.1908 0.3092 0.0000  6 Zr 3.80-4.04, 5 K 3.80-3.99, 4 Pb 4.23
K 0.3092 0.8092 0.0000  6 Zr 3.80-4.04, 5 K 3.80-3.99, 4 Pb 4.23
K 0.6908 0.1908 0.0000  6 Zr 3.80-4.04, 5 K 3.80-3.99, 4 Pb 4.23
K 0.8092 0.6908 0.0000  6 Zr 3.80-4.04, 5 K 3.80-3.99, 4 Pb 4.23
Zr 0.1237 0.6237 0.5000  1 Zr 2.59
Zr 0.3763 0.1237 0.5000  1 Zr 2.59
Zr 0.6237 0.8763 0.5000  1 Zr 2.59
Zr 0.8763 0.3763 0.5000  1 Zr 2.59
Pb 0.0000 0.0000 0.5000  4 Zr 2.93
Pb 0.5000 0.5000 0.5000  4 Zr 2.93

Properties
ΔH_f (0 K) in kcal/mol of atoms: 13.06
Electronic total energy in eV/atom: -4.0337
Relative energy among the computed polymorphs in meV/atom: 0
Space-group type: P4/mbm, No. 127

---

## Tl3PdF (PBE)

Data for crystalline Tl3PdF at its relaxed geometry.

abc: 5.1123 5.1123 5.1123
angles: 90.00 90.00 90.00
With the nearest neighbours (Å) after each atom.
Fractional positions:
Tl 0.0000 0.0000 0.5000  2 F 2.56
Tl 0.0000 0.5000 0.0000  2 F 2.56
Tl 0.5000 0.0000 0.0000  2 F 2.56
Pd 0.5000 0.5000 0.5000  12 Tl 3.61
F 0.0000 0.0000 0.0000  6 Tl 2.56

Properties
Electronic total energy in eV/atom: -3.2063
Raw formation energy in eV/atom: -0.37
Relative energy among the computed polymorphs in meV/atom: 144
Space-group type: Pm-3m, No. 221